No. 1
An optimized crystal structure of HoEr2CdAu4. Source: Alexandria via LeMat-Bulk, functional PBE.

Properties
Theoretical density (g cm⁻³): 13.174
Calculated formation energy (eV/atom): -0.786
Magnetic moment (μB per cell): 0.00

Lattice parameters (Å, degrees): 4.9812 4.9812 24.6326 90.00 90.00 120.00
Space group R-3m (No. 166, hexagonal axes)
Unique sites:
Ho 0.0000 0.0000 0.0000
Er 0.0000 0.0000 0.2434
Cd 0.0000 0.0000 0.5000
Au 0.0000 0.0000 0.1205
Au 0.0000 0.0000 0.3673

=====

No. 2
An optimized crystal structure of VPdS2. Source: Alexandria via LeMat-Bulk, functional PBE.

Properties
Theoretical density (g cm⁻³): 5.056
E_form (uncorrected) (meV/atom): -559
Magnetic moment (μB per cell): 4.00

Lattice parameters (Å, degrees): 6.2115 7.3893 6.3394 90.00 90.00 90.00
Space group Pna2_1 (No. 33)
Unique sites:
V 0.0723 0.1148 0.0000
Pd 0.1131 0.6774 0.9038
S 0.0696 0.6066 0.5465
S 0.0816 0.1315 0.6445

=====

No. 3
An optimized crystal structure of AgC5. Source: Alexandria via LeMat-Bulk, functional PBE.

Properties
Theoretical density (g cm⁻³): 5.727
ΔE to the lowest computed polymorph (kJ/mol of formula units): 1255
Calculated formation energy (eV/atom): 3.039
Magnetic moment (μB per cell): 0.00

Lattice parameters (Å, degrees): 4.7778 4.7778 2.4628 90.00 90.00 120.00
Space group P6/mmm (No. 191)
Unique sites:
Ag 0.0000 0.0000 0.0000
C 0.0000 0.5000 0.5000
C 0.3333 0.6667 0.0000

=====

No. 4
An optimized crystal structure of CuHg2HF6. Source: Alexandria via LeMat-Bulk, functional PBE.

Properties
Theoretical density (g cm⁻³): 6.483
Energy (eV per formula unit): -33.08
Magnetic moment (μB per cell): 0.90

Lattice parameters (Å, degrees): 6.2613 4.8851 11.2015 90.00 119.91 90.00
Space group P2_1/c (No. 14)
Unique sites:
Cu 0.0000 0.0000 0.0000
Hg 0.3037 0.0124 0.7990
H 0.5000 0.0000 0.5000
F 0.0220 0.7027 0.3543
F 0.3045 0.6730 0.6499
F 0.4046 0.2002 0.5034

=====

No. 5
An optimized crystal structure of BeCS2. Source: Alexandria via LeMat-Bulk, functional PBE.

Properties
Theoretical density (g cm⁻³): 2.540
ΔE to the lowest computed polymorph (kJ/mol of formula units): 0
E_form (uncorrected) (meV/atom): 488
Magnetic moment (μB per cell): 0.00

Lattice parameters (Å, degrees): 3.3769 3.3769 16.9116 90.00 90.00 120.00
Space group R-3m (No. 166, hexagonal axes)
Unique sites:
Be 0.0000 0.0000 0.0000
C 0.0000 0.0000 0.5000
S 0.0000 0.0000 0.4052

=====

No. 6
An optimized crystal structure of TiZnPt. Source: Alexandria via LeMat-Bulk, functional PBE.

Properties
Theoretical density (g cm⁻³): 9.317
Calculated formation energy (eV/atom): -0.483
Magnetic moment (μB per cell): 5.17

Lattice parameters (Å, degrees): 6.0352 6.0352 6.0352 90.00 90.00 90.00
Space group F-43m (No. 216)
Unique sites:
Ti 0.0000 0.0000 0.0000
Zn 0.0000 0.0000 0.5000
Pt 0.2500 0.2500 0.2500

=====

No. 7
An optimized crystal structure of CrGa2Bi. Source: Alexandria via LeMat-Bulk, functional PBE.

Properties
Theoretical density (g cm⁻³): 7.343
Calculated formation energy (eV/atom): 0.284
Magnetic moment (μB per cell): 14.96

Lattice parameters (Å, degrees): 4.4129 4.4129 18.6007 90.00 90.00 90.00
Space group I-42d (No. 122)
Unique sites:
Cr 0.0000 0.0000 0.0000
Ga 0.1611 0.2500 0.1250
Bi 0.0000 0.0000 0.5000

=====

No. 8
An optimized crystal structure of Sm2Mg3Cd4. Source: Alexandria via LeMat-Bulk, functional PBE.

Properties
Theoretical density (g cm⁻³): 6.225
ΔE to the lowest computed polymorph (kJ/mol of formula units): 0
Calculated formation energy (eV/atom): -0.247
Magnetic moment (μB per cell): 0.00

Lattice parameters (Å, degrees): 8.8333 5.1089 9.7334 90.00 90.24 90.00
Space group C2/m (No. 12)
Unique sites:
Sm 0.1665 0.0000 0.2879
Mg 0.0000 0.5000 0.5000
Mg 0.1672 0.0000 0.9304
Cd 0.0007 0.5000 0.8474
Cd 0.1666 0.0000 0.6062

=====

Look up the magnetic moment of the second one. 4.00 μB per cell